[1]
Density functional theory data (PBE-GGA) for a relaxed Ba2Li3ZrH12 crystal.

Cell lengths 6.383, 6.383, 6.383 Å; angles 62.18, 62.18, 62.18 degrees
Atoms (fractional coordinates):
H (0.763, 0.126, 0.763)
H (0.126, 0.763, 0.763)
H (0.871, 0.871, 0.387)
H (0.871, 0.387, 0.871)
H (0.387, 0.871, 0.871)
H (0.763, 0.763, 0.126)
H (0.237, 0.237, 0.874)
H (0.874, 0.237, 0.237)
H (0.129, 0.129, 0.613)
H (0.613, 0.129, 0.129)
H (0.237, 0.874, 0.237)
H (0.129, 0.613, 0.129)
Ba (0.393, 0.393, 0.393)
Ba (0.607, 0.607, 0.607)
Li (0.000, 0.000, 0.500)
Li (0.000, 0.500, 0.000)
Li (0.500, 0.000, 0.000)
Zr (0.000, 0.000, 0.000)

**Energy**: -3.4853 eV/atom
**V**: 10.7 A^3/atom
**Crystal system**: trigonal



[2]
Density functional theory data (PBE-GGA) for a relaxed BaLu2H crystal.

Cell lengths 3.550, 3.550, 9.948 Å; angles 79.72, 79.72, 60.00 degrees
Atoms (fractional coordinates):
Lu (0.877, 0.877, 0.369)
Lu (0.123, 0.123, 0.631)
H (0.500, 0.500, 0.500)
Ba (0.000, 0.000, 0.000)

**Energy**: -3.5051 eV/atom
**V**: 26.6 A^3/atom
**Crystal system**: trigonal



[3]
Density functional theory data (PBE-GGA) for a relaxed Ba4Mg2H crystal.

Cell lengths 5.592, 5.592, 10.339 Å; angles 105.69, 105.69, 90.00 degrees
Atoms (fractional coordinates):
Ba (0.824, 0.824, 0.647)
Ba (0.176, 0.176, 0.353)
Ba (0.500, 0.000, 0.000)
Ba (0.000, 0.500, 0.000)
Mg (0.373, 0.373, 0.746)
Mg (0.627, 0.627, 0.254)
H (0.000, 0.000, 0.000)

**Energy**: -2.0817 eV/atom
**V**: 42.7 A^3/atom
**Crystal system**: tetragonal



[4]
Density functional theory data (PBE-GGA) for a relaxed BaMgH2 crystal.

Cell lengths 4.735, 4.735, 4.735 Å; angles 60.00, 60.00, 60.00 degrees
Atoms (fractional coordinates):
H (0.250, 0.250, 0.250)
H (0.750, 0.750, 0.750)
Ba (0.500, 0.500, 0.500)
Mg (0.000, 0.000, 0.000)

**Energy**: -2.5882 eV/atom
**V**: 18.8 A^3/atom
**Crystal system**: cubic



Magnetization for the records above, in order: 0.0 0.1 0.1 0.0 μB/cell